#w
Density functional theory data (PBE) for CaGa2Cl8 after structural relaxation.

## Properties
Its crystal system is monoclinic. The spin magnetization comes out at 0.02 μB per atom.

abc: 12.761 9.292 6.359
angles: 90.00 98.31 90.00
Space group C2/m (No. 12)
Inequivalent atoms, fractional coordinates:
Ca 0.000 0.000 0.000 x2
Ga 0.199 0.000 0.657 x4
Cl 0.109 0.186 0.765 x8
Cl 0.136 0.500 0.218 x4
Cl 0.182 0.000 0.302 x4


#x
Density functional theory data (PBE) for CaGa2Cl8 after structural relaxation.

## Properties
Its crystal system is monoclinic. The spin magnetization comes out at 0.02 μB per atom.

abc: 18.051 9.151 12.037
angles: 90.00 128.54 90.00
Space group C2/c (No. 15)
Inequivalent atoms, fractional coordinates:
Ca 0.000 0.000 0.250 x4
Ga 0.091 0.248 0.041 x8
Cl 0.059 0.212 0.653 x8
Cl 0.099 0.220 0.233 x8
Cl 0.148 0.455 0.048 x8
Cl 0.162 0.058 0.025 x8


Most favorable structure: #x. The second most favorable one is 0.5 kJ/mol of atoms above it.